DFT (GGA-PBE) results for La3HgPd4 after structural relaxation.

The space group is Immm (No. 71) and the conventional cell measures 4.001, 6.750 and 15.163 Å, with angles of 90.00, 90.00 and 90.00 degrees. The inequivalent atoms are La at (0.000, 0.000, 0.000), La at (0.000, 0.500, 0.188), Hg at (0.000, 0.000, 0.500) and Pd at (0.000, 0.300, 0.372).

The calculation puts the formation energy at -5.5 eV per formula unit.

DFT (GGA-PBE) results for La3Hg4Pd4 after structural relaxation.

The space group is Immm (No. 71) and the conventional cell measures 4.209, 8.152 and 15.253 Å, with angles of 90.00, 90.00 and 90.00 degrees. The inequivalent atoms are La at (0.000, 0.000, 0.000), La at (0.000, 0.500, 0.126), Hg at (0.000, 0.306, 0.333), Pd at (0.000, 0.000, 0.229) and Pd at (0.000, 0.178, 0.500).

The calculation puts the formation energy at -6.8 eV per formula unit.

DFT (GGA-PBE) results for LaPuHgPd after structural relaxation.

The space group is F-43m (No. 216) and the conventional cell measures 7.461, 7.461 and 7.461 Å, with angles of 90.00, 90.00 and 90.00 degrees. The inequivalent atoms are La at (0.000, 0.000, 0.000), Pu at (0.000, 0.000, 0.500), Hg at (0.250, 0.250, 0.750) and Pd at (0.250, 0.250, 0.250).

The calculation puts the formation energy at -1.5 eV per formula unit.

DFT (GGA-PBE) results for RbLaHgPd2 after structural relaxation.

The space group is P4/mmm (No. 123) and the conventional cell measures 5.131, 5.131 and 5.857 Å, with angles of 90.00, 90.00 and 90.00 degrees. The inequivalent atoms are Rb at (0.000, 0.000, 0.000), La at (0.000, 0.000, 0.500), Hg at (0.500, 0.500, 0.500) and Pd at (0.000, 0.500, 0.000).

The calculation puts the formation energy at 5.3 eV per formula unit.

DFT (GGA-PBE) results for La2HgPdRh after structural relaxation.

The space group is P2_1/m (No. 11) and the conventional cell measures 8.050, 4.266 and 8.147 Å, with angles of 90.00, 114.80 and 90.00 degrees. The inequivalent atoms are La at (0.088, 0.250, 0.336), La at (0.328, 0.750, 0.072), Hg at (0.423, 0.750, 0.596), Pd at (0.265, 0.250, 0.733) and Rh at (0.066, 0.250, 0.922).

The calculation puts the formation energy at -3.2 eV per formula unit.

DFT (GGA-PBE) results for La5Hg2PdRh2 after structural relaxation.

The space group is P4/mbm (No. 127) and the conventional cell measures 11.970, 11.970 and 3.810 Å, with angles of 90.00, 90.00 and 90.00 degrees. The inequivalent atoms are La at (0.000, 0.500, 0.000), La at (0.080, 0.196, 0.000), Hg at (0.175, 0.675, 0.500), Pd at (0.000, 0.000, 0.500) and Rh at (0.134, 0.366, 0.500).

The calculation puts the formation energy at -6.2 eV per formula unit.

DFT (GGA-PBE) results for LaHg2PdRh after structural relaxation.

The space group is P4/mmm (No. 123) and the conventional cell measures 5.104, 5.104 and 5.369 Å, with angles of 90.00, 90.00 and 90.00 degrees. The inequivalent atoms are La at (0.000, 0.000, 0.000), Hg at (0.000, 0.500, 0.500), Pd at (0.000, 0.000, 0.500) and Rh at (0.500, 0.500, 0.000).

The calculation puts the formation energy at 1.2 eV per formula unit.

DFT (GGA-PBE) results for La5Hg2PdRu2 after structural relaxation.

The space group is P4/mbm (No. 127) and the conventional cell measures 11.936, 11.936 and 3.780 Å, with angles of 90.00, 90.00 and 90.00 degrees. The inequivalent atoms are La at (0.000, 0.500, 0.000), La at (0.075, 0.202, 0.000), Hg at (0.178, 0.678, 0.500), Pd at (0.000, 0.000, 0.500) and Ru at (0.134, 0.366, 0.500).

The calculation puts the formation energy at -4.2 eV per formula unit.

DFT (GGA-PBE) results for La2HgSb4Pd3 after structural relaxation.

The space group is P-4m2 (No. 115) and the conventional cell measures 4.751, 4.751 and 10.824 Å, with angles of 90.00, 90.00 and 90.00 degrees. The inequivalent atoms are La at (0.000, 0.500, 0.247), Hg at (0.000, 0.000, 0.500), Sb at (0.000, 0.000, 0.000), Sb at (0.000, 0.500, 0.642), Sb at (0.500, 0.500, 0.000), Pd at (0.000, 0.500, 0.882) and Pd at (0.500, 0.500, 0.500).

DFT (GGA-PBE) results for La2SiHgPd6 after structural relaxation.

The space group is Pmmn (No. 59, origin choice 2) and the conventional cell measures 5.587, 8.888 and 8.604 Å, with angles of 90.00, 90.00 and 90.00 degrees. The inequivalent atoms are La at (0.250, 0.002, 0.240), Si at (0.250, 0.250, 0.718), Hg at (0.250, 0.750, 0.793), Pd at (0.000, 0.250, 0.938), Pd at (0.004, 0.750, 0.508) and Pd at (0.250, 0.002, 0.597).

Going through the records in order, we get volume values of 25.6, 23.8, 26.0, 30.8, 25.4, 27.3, 28.0, 26.9, 24.4, 21.4 Å³ per atom.
Going through the records in order, we get E_tot values of -82.67, -87.18, -104.96, -11.30, -51.85, -102.59, -16.86, -106.30, -49.38, -107.39 eV for the cell shown.